[1]
Sm2Dy4Hg: optimized geometry, PBE.

Results
The formation energy from the elements is -0.050 eV per atom. Its density of states at the Fermi level is 9.8 states/eV/f.u. The total magnetization is 0.0001 μB/atom.

a b c (Å): 16.828 3.611 8.121
angles (deg): 90.00 116.95 90.00
Space group C2/m (No. 12)
Symmetry-distinct sites (fractional):
Sm  0.212  0.000  0.128 (multiplicity 4)
Dy  0.058  0.500  0.739 (multiplicity 4)
Dy  0.144  0.000  0.471 (multiplicity 4)
Hg  0.000  0.000  0.000 (multiplicity 2)



[2]
SmDy2Hg4: optimized geometry, PBE.

Results
The formation energy from the elements is -0.294 eV per atom. Its distance to the lowest polymorph of the same formula is 0.036 eV per atom. Its density of states at the Fermi level is 4.9 states/eV/f.u. The total magnetization is 0.0002 μB/atom.

a b c (Å): 4.9456 4.9456 26.8683
angles (deg): 90.00 90.00 120.00
Space group R-3m (No. 166, hexagonal axes)
Symmetry-distinct sites (fractional):
Sm  0.0000  0.0000  0.0000 (multiplicity 3)
Dy  0.0000  0.0000  0.1244 (multiplicity 6)
Hg  0.0000  0.0000  0.2477 (multiplicity 6)
Hg  0.0000  0.0000  0.3937 (multiplicity 6)



[3]
Sm5DyHg4: optimized geometry, PBE.

Results
The formation energy from the elements is -0.364 eV per atom. Its density of states at the Fermi level is 11.8 states/eV/f.u. The total magnetization is 0.1208 μB/atom.

a b c (Å): 3.750 3.750 20.269
angles (deg): 90.00 90.00 90.00
Space group P4/mmm (No. 123)
Symmetry-distinct sites (fractional):
Sm  0.000  0.000  0.000 (multiplicity 1)
Sm  0.000  0.000  0.190 (multiplicity 2)
Sm  0.000  0.000  0.380 (multiplicity 2)
Dy  0.500  0.500  0.500 (multiplicity 1)
Hg  0.500  0.500  0.095 (multiplicity 2)
Hg  0.500  0.500  0.287 (multiplicity 2)



One value per record, in order, for raw total energy: -28.5, -17.2, -33.0 eV per formula unit.